# 1
Computed, not measured: a relaxed structure of Nd5BSe4 at the PBE-GGA level of DFT.

Unit cell a=9.391 b=9.391 c=5.922 alpha=90.00 beta=90.00 gamma=90.00
Space group I4 (No. 79)
Asymmetric unit:
Nd  0.000  0.000  0.000 x2
Nd  0.092  0.725  0.501 x8
B  0.000  0.000  0.501 x2
Se  0.094  0.697  0.001 x8

N(E_F), states/eV/atom: 0.332
Formation energy from raw total energies, meV/atom: -1526
Volume, Å³/cell: 522
ρ, Mg/m³: 6.66

***

# 2
Computed, not measured: a relaxed structure of ZrTi2Se4 at the PBE-GGA level of DFT.

Unit cell a=14.041 b=3.588 c=6.592 alpha=90.00 beta=117.65 gamma=90.00
Space group C2/m (No. 12)
Asymmetric unit:
Zr  0.000  0.000  0.000 x2
Ti  0.250  0.000  0.301 x4
Se  0.114  0.000  0.460 x4
Se  0.141  0.500  0.969 x4

N(E_F), states/eV/atom: 0.669
Formation energy from raw total energies, meV/atom: -1207
Volume, Å³/cell: 294
ρ, Mg/m³: 5.68

***

# 3
Computed, not measured: a relaxed structure of Na3TmBi2Te6 at the PBE-GGA level of DFT.

Unit cell a=7.755 b=13.443 c=8.024 alpha=90.00 beta=108.84 gamma=90.00
Space group C2/m (No. 12)
Asymmetric unit:
Na  0.000  0.000  0.000 x2
Na  0.000  0.326  0.000 x4
Tm  0.000  0.500  0.500 x2
Bi  0.000  0.165  0.500 x4
Te  0.240  0.337  0.732 x8
Te  0.247  0.500  0.265 x4

N(E_F), states/eV/atom: 0.000
Formation energy from raw total energies, meV/atom: -790
Volume, Å³/cell: 792
ρ, Mg/m³: 5.96

***

# 4
Computed, not measured: a relaxed structure of Ce3Nd3SmS8 at the PBE-GGA level of DFT.

Unit cell a=8.0892 b=8.0892 c=19.8103 alpha=90.00 beta=90.00 gamma=120.00
Space group R-3m (No. 166, hexagonal axes)
Asymmetric unit:
Ce  0.0000  0.5000  0.0000 x9
Nd  0.0000  0.5000  0.5000 x9
Sm  0.0000  0.0000  0.0000 x3
S  0.0000  0.0000  0.2509 x6
S  0.0013  0.5007  0.7486 x18

N(E_F), states/eV/atom: 1.261
Formation energy from raw total energies, meV/atom: -2042
Volume, Å³/cell: 1123
ρ, Mg/m³: 5.59

***

# 5
Computed, not measured: a relaxed structure of Pm2MgUN4 at the PBE-GGA level of DFT.

Unit cell a=5.779 b=3.523 c=6.033 alpha=90.00 beta=108.01 gamma=90.00
Space group P2/m (No. 10)
Asymmetric unit:
Pm  0.000  0.000  0.000 x1
Pm  0.500  0.500  0.000 x1
Mg  0.000  0.500  0.500 x1
U  0.500  0.000  0.500 x1
N  0.266  0.000  0.721 x2
N  0.266  0.500  0.283 x2

N(E_F), states/eV/atom: 0.576
Formation energy from raw total energies, meV/atom: -1254
Volume, Å³/cell: 117
ρ, Mg/m³: 8.65

***

# 6
Computed, not measured: a relaxed structure of ThTe2I2 at the PBE-GGA level of DFT.

Unit cell a=7.852 b=14.447 c=8.237 alpha=90.00 beta=100.59 gamma=90.00
Space group C2/m (No. 12)
Asymmetric unit:
Th  0.000  0.144  0.000 x4
Te  0.077  0.000  0.307 x4
Te  0.187  0.500  0.905 x4
I  0.235  0.289  0.234 x8

Formation energy from raw total energies, meV/atom: -1015
Volume, Å³/cell: 918
ρ, Mg/m³: 5.36

***

# 7
Computed, not measured: a relaxed structure of RbNaBi2 at the PBE-GGA level of DFT.

Unit cell a=3.6995 b=3.6995 c=34.4403 alpha=90.00 beta=90.00 gamma=120.00
Space group R-3m (No. 166, hexagonal axes)
Asymmetric unit:
Rb  0.0000  0.0000  0.0000 x3
Na  0.0000  0.0000  0.5000 x3
Bi  0.0000  0.0000  0.2427 x6

Energy, eV per atom: -2.661
N(E_F), states/eV/atom: 0.795
Volume, Å³/cell: 408
ρ, Mg/m³: 6.42

***

# 8
Computed, not measured: a relaxed structure of La2SO4F2 at the PBE-GGA level of DFT.

Unit cell a=12.666 b=5.100 c=3.851 alpha=90.00 beta=92.65 gamma=90.00
Space group C2/m (No. 12)
Asymmetric unit:
La  0.133  0.000  0.231 x4
S  0.000  0.500  0.500 x2
O  0.069  0.257  0.725 x8
F  0.235  0.500  0.255 x4

N(E_F), states/eV/atom: 0.055
Formation energy from raw total energies, meV/atom: -2498
Volume, Å³/cell: 248
ρ, Mg/m³: 5.50

***

# 9
Computed, not measured: a relaxed structure of MnSiOs2 at the PBE-GGA level of DFT.

Unit cell a=2.734 b=3.950 c=11.272 alpha=90.00 beta=90.00 gamma=90.00
Space group Immm (No. 71)
Asymmetric unit:
Mn  0.000  0.000  0.000 x2
Si  0.000  0.000  0.500 x2
Os  0.000  0.000  0.294 x4

N(E_F), states/eV/atom: 0.898
Formation energy from raw total energies, meV/atom: 379
Volume, Å³/cell: 122
ρ, Mg/m³: 12.64

***

# 10
Computed, not measured: a relaxed structure of Cs2NdGaS4 at the PBE-GGA level of DFT.

Unit cell a=6.341 b=14.751 c=26.321 alpha=90.00 beta=90.00 gamma=90.00
Space group Fddd (No. 70, origin choice 2)
Asymmetric unit:
Cs  0.125  0.125  0.305 x16
Nd  0.125  0.125  0.125 x8
Ga  0.125  0.125  0.625 x8
S  0.084  0.280  0.825 x32

N(E_F), states/eV/atom: 0.000
Formation energy from raw total energies, meV/atom: -1268
Volume, Å³/cell: 2462
ρ, Mg/m³: 3.28

***

# 11
Computed, not measured: a relaxed structure of YCu5Ni at the PBE-GGA level of DFT.

Unit cell a=7.948 b=5.031 c=9.946 alpha=90.00 beta=90.00 gamma=90.00
Space group Pnma (No. 62)
Asymmetric unit:
Y  0.241  0.250  0.067 x4
Cu  0.063  0.008  0.307 x8
Cu  0.063  0.750  0.089 x4
Cu  0.104  0.250  0.517 x4
Cu  0.185  0.250  0.760 x4
Ni  0.149  0.750  0.852 x4

Energy, eV per atom: -4.824
N(E_F), states/eV/atom: 0.594
Volume, Å³/cell: 398
ρ, Mg/m³: 7.77

***

# 12
Computed, not measured: a relaxed structure of NbIrBr2 at the PBE-GGA level of DFT.

Unit cell a=6.106 b=6.106 c=10.231 alpha=90.00 beta=90.00 gamma=90.00
Space group I-42d (No. 122)
Asymmetric unit:
Nb  0.000  0.000  0.000 x4
Ir  0.000  0.000  0.500 x4
Br  0.241  0.250  0.625 x8

N(E_F), states/eV/atom: 0.578
Formation energy from raw total energies, meV/atom: 1008
Volume, Å³/cell: 381
ρ, Mg/m³: 7.75

***

Which value of ρ does entry 9 give?
12.64 Mg/m³